Record 1
The following is a GGA-PBE calculation of a relaxed Pm2Pr2Si3 crystal, from Alexandria via LeMat-Bulk.

E_form (uncorrected) = -0.43 eV per atom
space-group type = C2/m (12)
total DFT energy (no corrections) = -5.474 eV/atom

Unit cell a=4.2055 b=7.2570 c=7.6528 alpha=100.75 beta=90.04 gamma=106.84
Closest atoms and distances in Å follow each position.
Positions (direct):
Pm  0.6296  0.2593  0.8939  5 Si 2.96-3.03
Pm  0.3704  0.7407  0.1061  5 Si 2.96-3.03
Pr  0.8666  0.7338  0.6394  4 Si 2.96-3.01
Pr  0.1334  0.2662  0.3606  4 Si 2.96-3.01
Si  0.0000  0.0000  0.0000  4 Pm 2.98, 2 Pr 3.01
Si  0.7619  0.5233  0.2590  3 Pr 2.96-2.99, 3 Pm 2.96-3.03
Si  0.2381  0.4767  0.7410  3 Pr 2.96-2.99, 3 Pm 2.96-3.03

Record 2
The following is a GGA-PBE calculation of a relaxed PmPr4Si4 crystal, from Alexandria via LeMat-Bulk.

E_form (uncorrected) = -0.45 eV per atom
space-group type = P4_2/n (86)
total DFT energy (no corrections) = -5.509 eV/atom

Unit cell a=6.0844 b=9.1119 c=9.1119 alpha=90.00 beta=90.00 gamma=90.00
Closest atoms and distances in Å follow each position.
Positions (direct):
Pm  0.0000  0.0000  0.0000  4 Si 2.83
Pm  0.5000  0.5000  0.5000  4 Si 2.83
Pr  0.3644  0.3012  0.9218  4 Si 2.94-3.19
Pr  0.8644  0.5782  0.8012  4 Si 2.94-3.19
Pr  0.3644  0.6988  0.0782  4 Si 2.94-3.19
Pr  0.1356  0.1988  0.5782  4 Si 2.94-3.19
Pr  0.6356  0.9218  0.6988  4 Si 2.94-3.19
Pr  0.1356  0.8012  0.4218  4 Si 2.94-3.19
Pr  0.8644  0.4218  0.1988  4 Si 2.94-3.19
Pr  0.6356  0.0782  0.3012  4 Si 2.94-3.19
Si  0.6481  0.7624  0.3660  1 Si 2.46
Si  0.6481  0.2376  0.6340  1 Si 2.46
Si  0.1481  0.8660  0.7376  1 Si 2.46
Si  0.8519  0.2624  0.8660  1 Si 2.46
Si  0.8519  0.7376  0.1340  1 Si 2.46
Si  0.3519  0.3660  0.2376  1 Si 2.46
Si  0.3519  0.6340  0.7624  1 Si 2.46
Si  0.1481  0.1340  0.2624  1 Si 2.46

Record 3
The following is a GGA-PBE calculation of a relaxed PmPr2Si crystal, from Alexandria via LeMat-Bulk.

E_form (uncorrected) = -0.25 eV per atom
space-group type = Cmcm (63)
total DFT energy (no corrections) = -5.184 eV/atom
excess energy over the best structure of this formula in the dataset = 0 meV per atom

Unit cell a=5.4083 b=7.0039 c=6.8040 alpha=90.00 beta=90.00 gamma=112.71
Closest atoms and distances in Å follow each position.
Positions (direct):
Pm  0.0600  0.1200  0.7500  1 Si 2.92
Pm  0.9400  0.8800  0.2500  1 Si 2.92
Pr  0.3578  0.7156  0.9807  3 Si 3.08-3.14, 1 Pr 3.14, 2 Pm 3.43
Pr  0.6422  0.2844  0.0193  3 Si 3.08-3.14, 1 Pr 3.14, 2 Pm 3.43
Pr  0.6422  0.2844  0.4807  3 Si 3.08-3.14, 1 Pr 3.14, 2 Pm 3.43
Pr  0.3578  0.7156  0.5193  3 Si 3.08-3.14, 1 Pr 3.14, 2 Pm 3.43
Si  0.8339  0.6679  0.7500  1 Pm 2.92, 6 Pr 3.08-3.14
Si  0.1661  0.3321  0.2500  1 Pm 2.92, 6 Pr 3.08-3.14